# 1
# GGA-PBE Cs2FePtC, relaxed
data_Cs2FePtC
_cell_length_a 6.756
_cell_length_b 6.756
_cell_length_c 3.839
_cell_angle_alpha 90.00
_cell_angle_beta 90.00
_cell_angle_gamma 90.00
_symmetry_space_group_name_H-M 'P 4/m m m'
_symmetry_Int_Tables_number 123
_symmetry_space_group_name_Hall '-P 4 2'
loop_
_atom_site_label
_atom_site_fract_x
_atom_site_fract_y
_atom_site_fract_z
Cs1 0.000 0.500 0.000
Fe1 0.000 0.000 0.500
Pt1 0.500 0.500 0.500
C1 0.500 0.500 0.000
# Calculated density (g/cm³): 5.010
# Calculated formation energy (meV/atom): 837
# V (Å³ per cell): 175.2
# Magnetization (μB/f.u.): 3.3

---

# 2
# GGA-PBE CsRbFe2C, relaxed
data_CsRbFe2C
_cell_length_a 5.012
_cell_length_b 5.012
_cell_length_c 8.224
_cell_angle_alpha 90.00
_cell_angle_beta 90.00
_cell_angle_gamma 90.00
_symmetry_space_group_name_H-M 'P 4/m m m'
_symmetry_Int_Tables_number 123
_symmetry_space_group_name_Hall '-P 4 2'
loop_
_atom_site_label
_atom_site_fract_x
_atom_site_fract_y
_atom_site_fract_z
Cs1 0.000 0.000 0.000
Rb1 0.000 0.000 0.500
Fe1 0.000 0.500 0.000
C1 0.500 0.500 0.500
# Calculated density (g/cm³): 2.749
# Calculated formation energy (meV/atom): 2988
# V (Å³ per cell): 206.6
# Magnetization (μB/f.u.): 7.6